Record 1
! GGA-PBE CdSi2Ge2, optimized geometry; values from VASP
&SYSTEM
  ibrav = 0, nat = 10, ntyp = 3
/
ATOMIC_SPECIES
Cd 112.41 Cd.upf
Si 28.09 Si.upf
Ge 72.64 Ge.upf
CELL_PARAMETERS angstrom
7.723 0.000 0.000
0.000 7.723 0.000
0.000 0.000 3.169
ATOMIC_POSITIONS crystal
Cd 0.000 0.000 0.000
Cd 0.500 0.500 0.000
Si 0.138 0.362 0.000
Si 0.362 0.862 0.000
Si 0.638 0.138 0.000
Si 0.862 0.638 0.000
Ge 0.149 0.649 0.500
Ge 0.351 0.149 0.500
Ge 0.649 0.851 0.500
Ge 0.851 0.351 0.500
! * excess energy over the best structure of this formula in the dataset: 13.2 kJ per mole of atoms
! * calculated volume: 18.9 Å³/atom
! * ΔE_f (raw): 408 meV/atom
! * magnetic moment: 0.00 μB/f.u.
! * symmetry: P4/mbm, No. 127

=====

Record 2
! GGA-PBE BaSrMnSe2, optimized geometry; values from VASP
&SYSTEM
  ibrav = 0, nat = 5, ntyp = 4
/
ATOMIC_SPECIES
Ba 137.33 Ba.upf
Sr 87.62 Sr.upf
Mn 54.94 Mn.upf
Se 78.96 Se.upf
CELL_PARAMETERS angstrom
5.980 0.000 0.000
0.000 5.980 0.000
0.000 0.000 6.937
ATOMIC_POSITIONS crystal
Ba 0.000 0.000 0.000
Sr 0.000 0.000 0.500
Mn 0.500 0.500 0.500
Se 0.000 0.500 0.000
Se 0.500 0.000 0.000
! * calculated volume: 49.6 Å³/atom
! * ΔE_f (raw): 453 meV/atom
! * magnetic moment: 5.34 μB/f.u.
! * symmetry: P4/mmm, No. 123

=====

Record 3
! GGA-PBE GaPdS2N, optimized geometry; values from VASP
&SYSTEM
  ibrav = 0, nat = 5, ntyp = 4
/
ATOMIC_SPECIES
Ga 69.72 Ga.upf
Pd 106.42 Pd.upf
S 32.06 S.upf
N 14.01 N.upf
CELL_PARAMETERS angstrom
4.842 0.000 0.000
0.000 4.842 0.000
0.000 0.000 3.610
ATOMIC_POSITIONS crystal
Ga 0.000 0.000 0.000
Pd 0.500 0.500 0.500
S 0.000 0.500 0.000
S 0.500 0.000 0.000
N 0.000 0.000 0.500
! * excess energy over the best structure of this formula in the dataset: 18.0 kJ per mole of atoms
! * calculated volume: 16.9 Å³/atom
! * ΔE_f (raw): 926 meV/atom
! * magnetic moment: 0.00 μB/f.u.
! * symmetry: P4/mmm, No. 123

=====

Record 4
! GGA-PBE Rb5Cd2Au4, optimized geometry; values from VASP
&SYSTEM
  ibrav = 0, nat = 11, ntyp = 3
/
ATOMIC_SPECIES
Rb 85.47 Rb.upf
Cd 112.41 Cd.upf
Au 196.97 Au.upf
CELL_PARAMETERS angstrom
10.551 -2.607 0.000
10.551 2.607 0.000
-1.933 0.000 8.453
ATOMIC_POSITIONS crystal
Rb 0.000 0.000 0.000
Rb 0.333 0.333 0.063
Rb 0.349 0.349 0.554
Rb 0.651 0.651 0.446
Rb 0.667 0.667 0.937
Cd 0.062 0.062 0.636
Cd 0.938 0.938 0.364
Au 0.205 0.205 0.717
Au 0.481 0.481 0.323
Au 0.519 0.519 0.677
Au 0.795 0.795 0.283
! * excess energy over the best structure of this formula in the dataset: 0.2 kJ per mole of atoms
! * calculated volume: 42.3 Å³/atom
! * magnetic moment: 0.00 μB/f.u.
! * symmetry: C2/m, No. 12

=====

Record 5
! GGA-PBE TbPr2Nd, optimized geometry; values from VASP
&SYSTEM
  ibrav = 0, nat = 4, ntyp = 3
/
ATOMIC_SPECIES
Tb 158.93 Tb.upf
Pr 140.91 Pr.upf
Nd 144.24 Nd.upf
CELL_PARAMETERS angstrom
5.191 0.000 0.000
0.000 5.191 0.000
0.000 0.000 5.173
ATOMIC_POSITIONS crystal
Tb 0.000 0.000 0.000
Pr 0.000 0.500 0.500
Pr 0.500 0.000 0.500
Nd 0.500 0.500 0.000
! * excess energy over the best structure of this formula in the dataset: 0.2 kJ per mole of atoms
! * calculated volume: 34.8 Å³/atom
! * magnetic moment: 0.00 μB/f.u.
! * symmetry: P4/mmm, No. 123

=====

Record 6
! GGA-PBE TiCr, optimized geometry; values from VASP
&SYSTEM
  ibrav = 0, nat = 12, ntyp = 2
/
ATOMIC_SPECIES
Ti 47.87 Ti.upf
Cr 52.00 Cr.upf
CELL_PARAMETERS angstrom
6.886 0.000 0.000
0.000 6.886 0.000
0.000 0.000 6.886
ATOMIC_POSITIONS crystal
Ti 0.000 0.250 0.500
Ti 0.000 0.750 0.500
Ti 0.250 0.500 0.000
Ti 0.500 0.000 0.250
Ti 0.500 0.000 0.750
Ti 0.750 0.500 0.000
Cr 0.000 0.500 0.250
Cr 0.000 0.500 0.750
Cr 0.250 0.000 0.500
Cr 0.500 0.250 0.000
Cr 0.500 0.750 0.000
Cr 0.750 0.000 0.500
! * energy: -13.063 eV/f.u.
! * calculated volume: 27.2 Å³/atom
! * magnetic moment: 2.70 μB/f.u.
! * symmetry: Pm-3n, No. 223

=====

Record 7
! GGA-PBE Tb2Ho6Er3Mg, optimized geometry; values from VASP
&SYSTEM
  ibrav = 0, nat = 12, ntyp = 4
/
ATOMIC_SPECIES
Tb 158.93 Tb.upf
Ho 164.93 Ho.upf
Er 167.26 Er.upf
Mg 24.30 Mg.upf
CELL_PARAMETERS angstrom
3.035 -5.260 0.000
3.035 5.260 0.000
-2.038 0.000 11.428
ATOMIC_POSITIONS crystal
Tb 0.166 0.834 0.000
Tb 0.834 0.166 0.000
Ho 0.084 0.417 0.750
Ho 0.250 0.250 0.251
Ho 0.417 0.084 0.750
Ho 0.583 0.916 0.250
Ho 0.750 0.750 0.749
Ho 0.916 0.583 0.250
Er 0.000 0.000 0.500
Er 0.334 0.666 0.500
Er 0.666 0.334 0.500
Mg 0.500 0.500 0.000
! * energy: -51.676 eV/f.u.
! * calculated volume: 30.4 Å³/atom
! * magnetic moment: 0.00 μB/f.u.
! * symmetry: C2/m, No. 12

=====

Record 8
! GGA-PBE Li2AlSe2, optimized geometry; values from VASP
&SYSTEM
  ibrav = 0, nat = 10, ntyp = 3
/
ATOMIC_SPECIES
Li 6.94 Li.upf
Al 26.98 Al.upf
Se 78.96 Se.upf
CELL_PARAMETERS angstrom
3.771 0.000 0.000
0.000 3.771 0.000
0.000 0.000 13.157
ATOMIC_POSITIONS crystal
Li 0.000 0.500 0.250
Li 0.000 0.500 0.750
Li 0.500 0.000 0.250
Li 0.500 0.000 0.750
Al 0.000 0.000 0.000
Al 0.500 0.500 0.500
Se 0.000 0.000 0.379
Se 0.000 0.000 0.621
Se 0.500 0.500 0.121
Se 0.500 0.500 0.879
! * excess energy over the best structure of this formula in the dataset: 17.0 kJ per mole of atoms
! * calculated volume: 18.7 Å³/atom
! * ΔE_f (raw): -547 meV/atom
! * magnetic moment: 0.00 μB/f.u.
! * symmetry: I4/mmm, No. 139

=====

Theoretical density / g cm⁻³: 5.515, 2.931, 4.988, 5.142, 6.969, 3.047, 8.345, 3.528